--- a ---
! PaH2Rh, optimized geometry, DFT GGA-PBE; values from VASP
! **Space-group type**: No. 166
! **DOS at the Fermi energy**: 3.1 states/eV/f.u.
&SYSTEM
  ibrav = 0, nat = 4, ntyp = 3
/
ATOMIC_SPECIES
Pa 231.04 Pa.upf
H 1.01 H.upf
Rh 102.91 Rh.upf
CELL_PARAMETERS angstrom
1.544 0.891 5.596
-1.544 0.891 5.596
0.000 -1.783 5.596
ATOMIC_POSITIONS crystal
Pa 0.000 0.000 0.000
H 0.137 0.137 0.137
H 0.863 0.863 0.863
Rh 0.500 0.500 0.500

--- b ---
! PaH2Rh, optimized geometry, DFT GGA-PBE; values from VASP
! **Space-group type**: No. 11
! **DOS at the Fermi energy**: 2.0 states/eV/f.u.
&SYSTEM
  ibrav = 0, nat = 8, ntyp = 3
/
ATOMIC_SPECIES
Pa 231.04 Pa.upf
H 1.01 H.upf
Rh 102.91 Rh.upf
CELL_PARAMETERS angstrom
3.767 0.000 0.000
0.000 4.026 0.000
-1.871 0.000 6.225
ATOMIC_POSITIONS crystal
Pa 0.148 0.250 0.295
Pa 0.852 0.750 0.705
H 0.056 0.750 0.110
H 0.245 0.750 0.490
H 0.755 0.250 0.510
H 0.944 0.250 0.890
Rh 0.419 0.250 0.841
Rh 0.581 0.750 0.159

Energy ordering: b at the bottom, the next structure 39.3 kJ/mol of atoms above.

--- a ---
! Pa2HRu, optimized geometry, DFT GGA-PBE; values from VASP
! **Space-group type**: No. 123
! **DOS at the Fermi energy**: 5.3 states/eV/f.u.
&SYSTEM
  ibrav = 0, nat = 4, ntyp = 3
/
ATOMIC_SPECIES
Pa 231.04 Pa.upf
H 1.01 H.upf
Ru 101.07 Ru.upf
CELL_PARAMETERS angstrom
3.164 0.000 0.000
0.000 3.164 0.000
0.000 0.000 6.632
ATOMIC_POSITIONS crystal
Pa 0.000 0.000 0.211
Pa 0.000 0.000 0.789
H 0.500 0.500 0.000
Ru 0.500 0.500 0.500

--- b ---
! Pa2HRu, optimized geometry, DFT GGA-PBE; values from VASP
! **Space-group type**: No. 166
! **DOS at the Fermi energy**: 7.7 states/eV/f.u.
&SYSTEM
  ibrav = 0, nat = 4, ntyp = 3
/
ATOMIC_SPECIES
Pa 231.04 Pa.upf
H 1.01 H.upf
Ru 101.07 Ru.upf
CELL_PARAMETERS angstrom
1.912 1.104 7.375
-1.912 1.104 7.375
0.000 -2.208 7.375
ATOMIC_POSITIONS crystal
Pa 0.094 0.094 0.094
Pa 0.906 0.906 0.906
H 0.000 0.000 0.000
Ru 0.500 0.500 0.500

Energy ordering: a at the bottom, the next structure 28.7 kJ/mol of atoms above.

--- a ---
! PaH2S, optimized geometry, DFT GGA-PBE; values from VASP
! **Space-group type**: No. 166
! **DOS at the Fermi energy**: 3.4 states/eV/f.u.
&SYSTEM
  ibrav = 0, nat = 4, ntyp = 3
/
ATOMIC_SPECIES
Pa 231.04 Pa.upf
H 1.01 H.upf
S 32.06 S.upf
CELL_PARAMETERS angstrom
1.859 1.073 4.091
-1.859 1.073 4.091
0.000 -2.147 4.091
ATOMIC_POSITIONS crystal
Pa 0.000 0.000 0.000
H 0.298 0.298 0.298
H 0.702 0.702 0.702
S 0.500 0.500 0.500

--- b ---
! PaH2S, optimized geometry, DFT GGA-PBE; values from VASP
! **Space-group type**: No. 123
! **DOS at the Fermi energy**: 3.4 states/eV/f.u.
&SYSTEM
  ibrav = 0, nat = 4, ntyp = 3
/
ATOMIC_SPECIES
Pa 231.04 Pa.upf
H 1.01 H.upf
S 32.06 S.upf
CELL_PARAMETERS angstrom
3.282 0.000 0.000
0.000 3.282 0.000
0.000 0.000 5.155
ATOMIC_POSITIONS crystal
Pa 0.000 0.000 0.000
H 0.500 0.500 0.174
H 0.500 0.500 0.826
S 0.000 0.000 0.500

Energy ordering: a at the bottom, the next structure 71.0 kJ/mol of atoms above.

--- a ---
! PaSbH2, optimized geometry, DFT GGA-PBE; values from VASP
! **Space-group type**: No. 123
! **DOS at the Fermi energy**: 3.6 states/eV/f.u.
&SYSTEM
  ibrav = 0, nat = 4, ntyp = 3
/
ATOMIC_SPECIES
Pa 231.04 Pa.upf
Sb 121.76 Sb.upf
H 1.01 H.upf
CELL_PARAMETERS angstrom
3.124 0.000 0.000
0.000 3.124 0.000
0.000 0.000 6.400
ATOMIC_POSITIONS crystal
Pa 0.000 0.000 0.000
Sb 0.000 0.000 0.500
H 0.500 0.500 0.146
H 0.500 0.500 0.854

--- b ---
! PaSbH2, optimized geometry, DFT GGA-PBE; values from VASP
! **Space-group type**: No. 63
! **DOS at the Fermi energy**: 1.7 states/eV/f.u.
&SYSTEM
  ibrav = 0, nat = 8, ntyp = 3
/
ATOMIC_SPECIES
Pa 231.04 Pa.upf
Sb 121.76 Sb.upf
H 1.01 H.upf
CELL_PARAMETERS angstrom
1.970 -5.581 0.000
1.970 5.581 0.000
0.000 0.000 5.918
ATOMIC_POSITIONS crystal
Pa 0.207 0.793 0.750
Pa 0.793 0.207 0.250
Sb 0.074 0.926 0.250
Sb 0.926 0.074 0.750
H 0.316 0.684 0.066
H 0.316 0.684 0.434
H 0.684 0.316 0.566
H 0.684 0.316 0.934

Energy ordering: b at the bottom, the next structure 36.9 kJ/mol of atoms above.